# GGA-PBE Rb2PuH12Pd3, optimized geometry
# * symmetry: No. 166
# * N(E_F): 13.52 states/eV per cell
# * energy: -4.1927 eV per atom
# * size of the total moment: 5.51 μB/f.u.
# * V: 12.0 A^3/atom
data_Rb2PuH12Pd3
_chemical_formula_sum 'Rb2 Pu1 H12 Pd3'
_space_group_name_H-M_alt 'P 1'
_space_group_IT_number 1
_space_group_name_Hall 'P 1'
_cell_length_a 6.451
_cell_length_b 6.451
_cell_length_c 6.451
_cell_angle_alpha 66.49
_cell_angle_beta 66.49
_cell_angle_gamma 66.49
loop_
_atom_site_label
_atom_site_type_symbol
_atom_site_fract_x
_atom_site_fract_y
_atom_site_fract_z
_atom_site_occupancy
Rb1 Rb 0.111 0.111 0.111 1
Rb2 Rb 0.889 0.889 0.889 1
Pu1 Pu 0.500 0.500 0.500 1
H1 H 0.099 0.618 0.618 1
H2 H 0.232 0.232 0.571 1
H3 H 0.232 0.571 0.232 1
H4 H 0.382 0.382 0.901 1
H5 H 0.382 0.901 0.382 1
H6 H 0.429 0.768 0.768 1
H7 H 0.571 0.232 0.232 1
H8 H 0.618 0.099 0.618 1
H9 H 0.618 0.618 0.099 1
H10 H 0.768 0.429 0.768 1
H11 H 0.768 0.768 0.429 1
H12 H 0.901 0.382 0.382 1
Pd1 Pd 0.000 0.500 0.500 1
Pd2 Pd 0.500 0.000 0.500 1
Pd3 Pd 0.500 0.500 0.000 1

# GGA-PBE PuHPdRh2, optimized geometry
# * symmetry: No. 123
# * N(E_F): 13.98 states/eV per cell
# * energy: -7.8946 eV per atom
# * size of the total moment: 3.58 μB/f.u.
# * V: 14.0 A^3/atom
data_PuHPdRh2
_chemical_formula_sum 'Pu1 H1 Pd1 Rh2'
_space_group_name_H-M_alt 'P 1'
_space_group_IT_number 1
_space_group_name_Hall 'P 1'
_cell_length_a 4.174
_cell_length_b 4.174
_cell_length_c 4.017
_cell_angle_alpha 90.00
_cell_angle_beta 90.00
_cell_angle_gamma 90.00
loop_
_atom_site_label
_atom_site_type_symbol
_atom_site_fract_x
_atom_site_fract_y
_atom_site_fract_z
_atom_site_occupancy
Pu1 Pu 0.000 0.000 0.000 1
H1 H 0.500 0.500 0.500 1
Pd1 Pd 0.500 0.500 0.000 1
Rh1 Rh 0.000 0.500 0.500 1
Rh2 Rh 0.500 0.000 0.500 1

# GGA-PBE Pu2H12PdRh3, optimized geometry
# * symmetry: No. 166
# * N(E_F): 24.23 states/eV per cell
# * energy: -5.5244 eV per atom
# * size of the total moment: 11.54 μB/f.u.
# * V: 8.9 A^3/atom
data_Pu2H12PdRh3
_chemical_formula_sum 'Pu2 H12 Pd1 Rh3'
_space_group_name_H-M_alt 'P 1'
_space_group_IT_number 1
_space_group_name_Hall 'P 1'
_cell_length_a 6.100
_cell_length_b 6.100
_cell_length_c 6.100
_cell_angle_alpha 59.97
_cell_angle_beta 59.97
_cell_angle_gamma 59.97
loop_
_atom_site_label
_atom_site_type_symbol
_atom_site_fract_x
_atom_site_fract_y
_atom_site_fract_z
_atom_site_occupancy
Pu1 Pu 0.117 0.117 0.117 1
Pu2 Pu 0.883 0.883 0.883 1
H1 H 0.133 0.605 0.605 1
H2 H 0.162 0.162 0.638 1
H3 H 0.162 0.638 0.162 1
H4 H 0.362 0.838 0.838 1
H5 H 0.395 0.395 0.867 1
H6 H 0.395 0.867 0.395 1
H7 H 0.605 0.133 0.605 1
H8 H 0.605 0.605 0.133 1
H9 H 0.638 0.162 0.162 1
H10 H 0.838 0.362 0.838 1
H11 H 0.838 0.838 0.362 1
H12 H 0.867 0.395 0.395 1
Pd1 Pd 0.500 0.500 0.500 1
Rh1 Rh 0.000 0.500 0.500 1
Rh2 Rh 0.500 0.000 0.500 1
Rh3 Rh 0.500 0.500 0.000 1

# GGA-PBE PuHPd2Rh, optimized geometry
# * symmetry: No. 123
# * N(E_F): 14.22 states/eV per cell
# * energy: -7.5023 eV per atom
# * size of the total moment: 4.51 μB/f.u.
# * V: 14.4 A^3/atom
data_PuHPd2Rh
_chemical_formula_sum 'Pu1 H1 Pd2 Rh1'
_space_group_name_H-M_alt 'P 1'
_space_group_IT_number 1
_space_group_name_Hall 'P 1'
_cell_length_a 4.075
_cell_length_b 4.075
_cell_length_c 4.327
_cell_angle_alpha 90.00
_cell_angle_beta 90.00
_cell_angle_gamma 90.00
loop_
_atom_site_label
_atom_site_type_symbol
_atom_site_fract_x
_atom_site_fract_y
_atom_site_fract_z
_atom_site_occupancy
Pu1 Pu 0.000 0.000 0.000 1
H1 H 0.500 0.500 0.500 1
Pd1 Pd 0.000 0.500 0.500 1
Pd2 Pd 0.500 0.000 0.500 1
Rh1 Rh 0.500 0.500 0.000 1

# GGA-PBE PuH8PdRh2, optimized geometry
# * symmetry: No. 148
# * N(E_F): 14.94 states/eV per cell
# * energy: -5.2168 eV per atom
# * size of the total moment: 5.30 μB/f.u.
# * V: 8.9 A^3/atom
data_PuH8PdRh2
_chemical_formula_sum 'Pu1 H8 Pd1 Rh2'
_space_group_name_H-M_alt 'P 1'
_space_group_IT_number 1
_space_group_name_Hall 'P 1'
_cell_length_a 6.044
_cell_length_b 6.044
_cell_length_c 6.044
_cell_angle_alpha 46.72
_cell_angle_beta 46.72
_cell_angle_gamma 46.72
loop_
_atom_site_label
_atom_site_type_symbol
_atom_site_fract_x
_atom_site_fract_y
_atom_site_fract_z
_atom_site_occupancy
Pu1 Pu 0.000 0.000 0.000 1
H1 H 0.123 0.824 0.407 1
H2 H 0.176 0.593 0.877 1
H3 H 0.312 0.312 0.312 1
H4 H 0.407 0.123 0.824 1
H5 H 0.593 0.877 0.176 1
H6 H 0.688 0.688 0.688 1
H7 H 0.824 0.407 0.123 1
H8 H 0.877 0.176 0.593 1
Pd1 Pd 0.500 0.500 0.500 1
Rh1 Rh 0.207 0.207 0.207 1
Rh2 Rh 0.793 0.793 0.793 1

# GGA-PBE PuH4Pd2Rh, optimized geometry
# * symmetry: No. 121
# * N(E_F): 14.19 states/eV per cell
# * energy: -5.9368 eV per atom
# * size of the total moment: 5.00 μB/f.u.
# * V: 10.4 A^3/atom
data_PuH4Pd2Rh
_chemical_formula_sum 'Pu1 H4 Pd2 Rh1'
_space_group_name_H-M_alt 'P 1'
_space_group_IT_number 1
_space_group_name_Hall 'P 1'
_cell_length_a 4.792
_cell_length_b 4.792
_cell_length_c 4.792
_cell_angle_alpha 113.42
_cell_angle_beta 113.42
_cell_angle_gamma 101.84
loop_
_atom_site_label
_atom_site_type_symbol
_atom_site_fract_x
_atom_site_fract_y
_atom_site_fract_z
_atom_site_occupancy
Pu1 Pu 0.000 0.000 0.000 1
H1 H 0.132 0.132 0.611 1
H2 H 0.479 0.868 0.000 1
H3 H 0.521 0.521 0.389 1
H4 H 0.868 0.479 0.000 1
Pd1 Pd 0.250 0.750 0.500 1
Pd2 Pd 0.750 0.250 0.500 1
Rh1 Rh 0.500 0.500 0.000 1

# GGA-PBE Pu2H6PdRu, optimized geometry
# * symmetry: No. 166
# * N(E_F): 52.79 states/eV per cell
# * energy: -6.5896 eV per atom
# * size of the total moment: 0.05 μB/f.u.
# * V: 10.4 A^3/atom
data_Pu2H6PdRu
_chemical_formula_sum 'Pu4 H12 Pd2 Ru2'
_space_group_name_H-M_alt 'P 1'
_space_group_IT_number 1
_space_group_name_Hall 'P 1'
_cell_length_a 9.322
_cell_length_b 9.322
_cell_length_c 9.322
_cell_angle_alpha 32.54
_cell_angle_beta 32.54
_cell_angle_gamma 32.54
loop_
_atom_site_label
_atom_site_type_symbol
_atom_site_fract_x
_atom_site_fract_y
_atom_site_fract_z
_atom_site_occupancy
Pu1 Pu 0.128 0.128 0.128 1
Pu2 Pu 0.279 0.279 0.279 1
Pu3 Pu 0.721 0.721 0.721 1
Pu4 Pu 0.872 0.872 0.872 1
H1 H 0.123 0.638 0.638 1
H2 H 0.184 0.184 0.772 1
H3 H 0.184 0.772 0.184 1
H4 H 0.228 0.816 0.816 1
H5 H 0.362 0.362 0.877 1
H6 H 0.362 0.877 0.362 1
H7 H 0.638 0.123 0.638 1
H8 H 0.638 0.638 0.123 1
H9 H 0.772 0.184 0.184 1
H10 H 0.816 0.228 0.816 1
H11 H 0.816 0.816 0.228 1
H12 H 0.877 0.362 0.362 1
Pd1 Pd 0.391 0.391 0.391 1
Pd2 Pd 0.609 0.609 0.609 1
Ru1 Ru 0.000 0.000 0.000 1
Ru2 Ru 0.500 0.500 0.500 1

# GGA-PBE PuSbHPd2, optimized geometry
# * symmetry: No. 63
# * N(E_F): 29.50 states/eV per cell
# * energy: -6.9402 eV per atom
# * size of the total moment: 5.40 μB/f.u.
# * V: 17.9 A^3/atom
data_PuSbHPd2
_chemical_formula_sum 'Pu2 Sb2 H2 Pd4'
_space_group_name_H-M_alt 'P 1'
_space_group_IT_number 1
_space_group_name_Hall 'P 1'
_cell_length_a 6.054
_cell_length_b 6.054
_cell_length_c 7.405
_cell_angle_alpha 90.00
_cell_angle_beta 90.00
_cell_angle_gamma 138.84
loop_
_atom_site_label
_atom_site_type_symbol
_atom_site_fract_x
_atom_site_fract_y
_atom_site_fract_z
_atom_site_occupancy
Pu1 Pu 0.059 0.941 0.750 1
Pu2 Pu 0.941 0.059 0.250 1
Sb1 Sb 0.222 0.778 0.250 1
Sb2 Sb 0.778 0.222 0.750 1
H1 H 0.500 0.500 0.000 1
H2 H 0.500 0.500 0.500 1
Pd1 Pd 0.350 0.650 0.553 1
Pd2 Pd 0.350 0.650 0.947 1
Pd3 Pd 0.650 0.350 0.053 1
Pd4 Pd 0.650 0.350 0.447 1

# GGA-PBE Pu2SnHPd6, optimized geometry
# * symmetry: No. 12
# * N(E_F): 30.25 states/eV per cell
# * energy: -7.1531 eV per atom
# * size of the total moment: 11.09 μB/f.u.
# * V: 18.1 A^3/atom
data_Pu2SnHPd6
_chemical_formula_sum 'Pu2 Sn1 H1 Pd6'
_space_group_name_H-M_alt 'P 1'
_space_group_IT_number 1
_space_group_name_Hall 'P 1'
_cell_length_a 5.744
_cell_length_b 5.744
_cell_length_c 7.139
_cell_angle_alpha 113.71
_cell_angle_beta 113.71
_cell_angle_gamma 60.01
loop_
_atom_site_label
_atom_site_type_symbol
_atom_site_fract_x
_atom_site_fract_y
_atom_site_fract_z
_atom_site_occupancy
Pu1 Pu 0.224 0.224 0.170 1
Pu2 Pu 0.776 0.776 0.830 1
Sn1 Sn 0.500 0.500 0.000 1
H1 H 0.000 0.000 0.500 1
Pd1 Pd 0.224 0.224 0.679 1
Pd2 Pd 0.224 0.728 0.678 1
Pd3 Pd 0.272 0.776 0.322 1
Pd4 Pd 0.728 0.224 0.678 1
Pd5 Pd 0.776 0.272 0.322 1
Pd6 Pd 0.776 0.776 0.321 1

# GGA-PBE PuSnHPd2, optimized geometry
# * symmetry: No. 63
# * N(E_F): 21.15 states/eV per cell
# * energy: -6.8829 eV per atom
# * size of the total moment: 5.52 μB/f.u.
# * V: 17.0 A^3/atom
data_PuSnHPd2
_chemical_formula_sum 'Pu2 Sn2 H2 Pd4'
_space_group_name_H-M_alt 'P 1'
_space_group_IT_number 1
_space_group_name_Hall 'P 1'
_cell_length_a 6.950
_cell_length_b 6.950
_cell_length_c 7.672
_cell_angle_alpha 90.00
_cell_angle_beta 90.00
_cell_angle_gamma 152.76
loop_
_atom_site_label
_atom_site_type_symbol
_atom_site_fract_x
_atom_site_fract_y
_atom_site_fract_z
_atom_site_occupancy
Pu1 Pu 0.021 0.979 0.750 1
Pu2 Pu 0.979 0.021 0.250 1
Sn1 Sn 0.262 0.738 0.250 1
Sn2 Sn 0.738 0.262 0.750 1
H1 H 0.500 0.500 0.000 1
H2 H 0.500 0.500 0.500 1
Pd1 Pd 0.361 0.639 0.561 1
Pd2 Pd 0.361 0.639 0.939 1
Pd3 Pd 0.639 0.361 0.061 1
Pd4 Pd 0.639 0.361 0.439 1

# GGA-PBE SrPuH8Pd2, optimized geometry
# * symmetry: No. 166
# * N(E_F): 11.01 states/eV per cell
# * energy: -4.5966 eV per atom
# * size of the total moment: 4.89 μB/f.u.
# * V: 10.6 A^3/atom
data_SrPuH8Pd2
_chemical_formula_sum 'Sr1 Pu1 H8 Pd2'
_space_group_name_H-M_alt 'P 1'
_space_group_IT_number 1
_space_group_name_Hall 'P 1'
_cell_length_a 7.081
_cell_length_b 7.081
_cell_length_c 7.081
_cell_angle_alpha 39.11
_cell_angle_beta 39.11
_cell_angle_gamma 39.11
loop_
_atom_site_label
_atom_site_type_symbol
_atom_site_fract_x
_atom_site_fract_y
_atom_site_fract_z
_atom_site_occupancy
Sr1 Sr 0.000 0.000 0.000 1
Pu1 Pu 0.500 0.500 0.500 1
H1 H 0.120 0.539 0.539 1
H2 H 0.143 0.143 0.143 1
H3 H 0.461 0.461 0.880 1
H4 H 0.461 0.880 0.461 1
H5 H 0.539 0.120 0.539 1
H6 H 0.539 0.539 0.120 1
H7 H 0.857 0.857 0.857 1
H8 H 0.880 0.461 0.461 1
Pd1 Pd 0.232 0.232 0.232 1
Pd2 Pd 0.768 0.768 0.768 1

# GGA-PBE Pu2ZnHPd6, optimized geometry
# * symmetry: No. 12
# * N(E_F): 31.00 states/eV per cell
# * energy: -6.8788 eV per atom
# * size of the total moment: 10.75 μB/f.u.
# * V: 17.0 A^3/atom
data_Pu2ZnHPd6
_chemical_formula_sum 'Pu2 Zn1 H1 Pd6'
_space_group_name_H-M_alt 'P 1'
_space_group_IT_number 1
_space_group_name_Hall 'P 1'
_cell_length_a 5.702
_cell_length_b 5.702
_cell_length_c 6.896
_cell_angle_alpha 114.47
_cell_angle_beta 114.47
_cell_angle_gamma 59.99
loop_
_atom_site_label
_atom_site_type_symbol
_atom_site_fract_x
_atom_site_fract_y
_atom_site_fract_z
_atom_site_occupancy
Pu1 Pu 0.221 0.221 0.163 1
Pu2 Pu 0.779 0.779 0.837 1
Zn1 Zn 0.500 0.500 0.000 1
H1 H 0.000 0.000 0.500 1
Pd1 Pd 0.229 0.229 0.685 1
Pd2 Pd 0.230 0.729 0.687 1
Pd3 Pd 0.271 0.770 0.313 1
Pd4 Pd 0.729 0.230 0.687 1
Pd5 Pd 0.770 0.271 0.313 1
Pd6 Pd 0.771 0.771 0.315 1